--- 1 ---
# PBE CeTl2Ge, optimized geometry
# Size of the total moment: 3.86 μB per cell
# Mass density: 9.1 g/cm³
data_CeTl2Ge
_chemical_formula_sum 'Ce3 Tl6 Ge3'
_space_group_name_H-M_alt 'R -3 m'
_space_group_IT_number 166
_space_group_name_Hall '-R 3 2"'
_cell_length_a 3.4170
_cell_length_b 3.4170
_cell_length_c 33.8172
_cell_angle_alpha 90.00
_cell_angle_beta 90.00
_cell_angle_gamma 120.00
loop_
_atom_site_label
_atom_site_fract_x
_atom_site_fract_y
_atom_site_fract_z
Ce1 0.0000 0.0000 0.0000
Tl1 0.0000 0.0000 0.0957
Ge1 0.0000 0.0000 0.5000

***

--- 2 ---
# PBE CeTl2Ge, optimized geometry
# Size of the total moment: 0.78 μB per cell
# Mass density: 10.1 g/cm³
data_CeTl2Ge
_chemical_formula_sum 'Ce1 Tl2 Ge1'
_space_group_name_H-M_alt 'P 4/m m m'
_space_group_IT_number 123
_space_group_name_Hall '-P 4 2'
_cell_length_a 4.503
_cell_length_b 4.503
_cell_length_c 5.022
_cell_angle_alpha 90.00
_cell_angle_beta 90.00
_cell_angle_gamma 90.00
loop_
_atom_site_label
_atom_site_fract_x
_atom_site_fract_y
_atom_site_fract_z
Ce1 0.000 0.000 0.000
Tl1 0.000 0.500 0.500
Ge1 0.500 0.500 0.000

***

Energies, relative to the best one, in meV/atom: 1 540; 2 0.

***

--- 1 ---
# PBE Ce6TlGe2, optimized geometry
# Size of the total moment: 3.15 μB per cell
# Mass density: 9.3 g/cm³
data_Ce6TlGe2
_chemical_formula_sum 'Ce6 Tl1 Ge2'
_space_group_name_H-M_alt 'P 6/m m m'
_space_group_IT_number 191
_space_group_name_Hall '-P 6 2'
_cell_length_a 8.9227
_cell_length_b 8.9227
_cell_length_c 3.0780
_cell_angle_alpha 90.00
_cell_angle_beta 90.00
_cell_angle_gamma 120.00
loop_
_atom_site_label
_atom_site_fract_x
_atom_site_fract_y
_atom_site_fract_z
Ce1 0.0000 0.3476 0.0000
Tl1 0.0000 0.0000 0.5000
Ge1 0.3333 0.6667 0.5000

***

--- 2 ---
# PBE Ce6TlGe2, optimized geometry
# Size of the total moment: 8.52 μB per cell
# Mass density: 9.0 g/cm³
data_Ce6TlGe2
_chemical_formula_sum 'Ce12 Tl2 Ge4'
_space_group_name_H-M_alt 'I m m m'
_space_group_IT_number 71
_space_group_name_Hall '-I 2 2'
_cell_length_a 3.180
_cell_length_b 8.902
_cell_length_c 15.550
_cell_angle_alpha 90.00
_cell_angle_beta 90.00
_cell_angle_gamma 90.00
loop_
_atom_site_label
_atom_site_fract_x
_atom_site_fract_y
_atom_site_fract_z
Ce1 0.000 0.163 0.000
Ce2 0.000 0.309 0.164
Tl1 0.000 0.000 0.500
Ge1 0.000 0.500 0.343

***

Energies, relative to the best one, in meV/atom: 1 0; 2 26.

***

--- 1 ---
# PBE Ce4TlGe, optimized geometry
# Size of the total moment: 4.27 μB per cell
# Mass density: 9.6 g/cm³
data_Ce4TlGe
_chemical_formula_sum 'Ce8 Tl2 Ge2'
_space_group_name_H-M_alt 'I m m m'
_space_group_IT_number 71
_space_group_name_Hall '-I 2 2'
_cell_length_a 5.152
_cell_length_b 6.260
_cell_length_c 8.942
_cell_angle_alpha 90.00
_cell_angle_beta 90.00
_cell_angle_gamma 90.00
loop_
_atom_site_label
_atom_site_fract_x
_atom_site_fract_y
_atom_site_fract_z
Ce1 0.000 0.247 0.166
Tl1 0.000 0.000 0.500
Ge1 0.000 0.500 0.500

***

--- 2 ---
# PBE Ce4TlGe, optimized geometry
# Size of the total moment: 4.19 μB per cell
# Mass density: 9.1 g/cm³
data_Ce4TlGe
_chemical_formula_sum 'Ce16 Tl4 Ge4'
_space_group_name_H-M_alt 'C 1 2/c 1'
_space_group_IT_number 15
_space_group_name_Hall '-C 2yc'
_cell_length_a 9.023
_cell_length_b 12.763
_cell_length_c 5.703
_cell_angle_alpha 90.00
_cell_angle_beta 110.82
_cell_angle_gamma 90.00
loop_
_atom_site_label
_atom_site_fract_x
_atom_site_fract_y
_atom_site_fract_z
Ce1 0.122 0.193 0.164
Ce2 0.216 0.395 0.369
Tl1 0.000 0.385 0.750
Ge1 0.000 0.021 0.750

***

Energies, relative to the best one, in meV/atom: 1 142; 2 0.

***

--- 1 ---
# PBE Ce2TmGe, optimized geometry
# Size of the total moment: 0.00 μB per cell
# Mass density: 8.8 g/cm³
data_Ce2TmGe
_chemical_formula_sum 'Ce4 Tm2 Ge2'
_space_group_name_H-M_alt 'P 1 21/m 1'
_space_group_IT_number 11
_space_group_name_Hall '-P 2yb'
_cell_length_a 4.259
_cell_length_b 4.233
_cell_length_c 11.105
_cell_angle_alpha 90.00
_cell_angle_beta 100.67
_cell_angle_gamma 90.00
loop_
_atom_site_label
_atom_site_fract_x
_atom_site_fract_y
_atom_site_fract_z
Ce1 0.021 0.250 0.128
Ce2 0.402 0.250 0.877
Tm1 0.304 0.750 0.605
Ge1 0.176 0.750 0.338

***

--- 2 ---
# PBE Ce2TmGe, optimized geometry
# Size of the total moment: 0.13 μB per cell
# Mass density: 9.1 g/cm³
data_Ce2TmGe
_chemical_formula_sum 'Ce2 Tm1 Ge1'
_space_group_name_H-M_alt 'P 4/m m m'
_space_group_IT_number 123
_space_group_name_Hall '-P 4 2'
_cell_length_a 4.343
_cell_length_b 4.343
_cell_length_c 5.057
_cell_angle_alpha 90.00
_cell_angle_beta 90.00
_cell_angle_gamma 90.00
loop_
_atom_site_label
_atom_site_fract_x
_atom_site_fract_y
_atom_site_fract_z
Ce1 0.000 0.500 0.000
Tm1 0.000 0.000 0.500
Ge1 0.500 0.500 0.500

***

Energies, relative to the best one, in meV/atom: 1 0; 2 71.

***

--- 1 ---
# PBE Ce2TmGe, optimized geometry
# Size of the total moment: 2.28 μB per cell
# Mass density: 7.4 g/cm³
data_Ce2TmGe
_chemical_formula_sum 'Ce6 Tm3 Ge3'
_space_group_name_H-M_alt 'R -3 m'
_space_group_IT_number 166
_space_group_name_Hall '-R 3 2"'
_cell_length_a 3.7848
_cell_length_b 3.7848
_cell_length_c 28.3184
_cell_angle_alpha 90.00
_cell_angle_beta 90.00
_cell_angle_gamma 120.00
loop_
_atom_site_label
_atom_site_fract_x
_atom_site_fract_y
_atom_site_fract_z
Ce1 0.0000 0.0000 0.2349
Tm1 0.0000 0.0000 0.0000
Ge1 0.0000 0.0000 0.5000

***

--- 2 ---
# PBE Ce2TmGe, optimized geometry
# Size of the total moment: 1.55 μB per cell
# Mass density: 8.1 g/cm³
data_Ce2TmGe
_chemical_formula_sum 'Ce2 Tm1 Ge1'
_space_group_name_H-M_alt 'P 4/m m m'
_space_group_IT_number 123
_space_group_name_Hall '-P 4 2'
_cell_length_a 3.985
_cell_length_b 3.985
_cell_length_c 6.759
_cell_angle_alpha 90.00
_cell_angle_beta 90.00
_cell_angle_gamma 90.00
loop_
_atom_site_label
_atom_site_fract_x
_atom_site_fract_y
_atom_site_fract_z
Ce1 0.000 0.000 0.199
Tm1 0.500 0.500 0.500
Ge1 0.500 0.500 0.000

***

Energies, relative to the best one, in meV/atom: 1 234; 2 0.

***

--- 1 ---
# PBE Ce2VGe, optimized geometry
# Size of the total moment: 4.52 μB per cell
# Mass density: 8.1 g/cm³
data_Ce2VGe
_chemical_formula_sum 'Ce6 V3 Ge3'
_space_group_name_H-M_alt 'R -3 m'
_space_group_IT_number 166
_space_group_name_Hall '-R 3 2"'
_cell_length_a 3.0190
_cell_length_b 3.0190
_cell_length_c 31.3003
_cell_angle_alpha 90.00
_cell_angle_beta 90.00
_cell_angle_gamma 120.00
loop_
_atom_site_label
_atom_site_fract_x
_atom_site_fract_y
_atom_site_fract_z
Ce1 0.0000 0.0000 0.0825
V1 0.0000 0.0000 0.0000
Ge1 0.0000 0.0000 0.5000

***

--- 2 ---
# PBE Ce2VGe, optimized geometry
# Size of the total moment: 2.08 μB per cell
# Mass density: 8.0 g/cm³
data_Ce2VGe
_chemical_formula_sum 'Ce2 V1 Ge1'
_space_group_name_H-M_alt 'P 4/m m m'
_space_group_IT_number 123
_space_group_name_Hall '-P 4 2'
_cell_length_a 4.343
_cell_length_b 4.343
_cell_length_c 4.421
_cell_angle_alpha 90.00
_cell_angle_beta 90.00
_cell_angle_gamma 90.00
loop_
_atom_site_label
_atom_site_fract_x
_atom_site_fract_y
_atom_site_fract_z
Ce1 0.000 0.500 0.000
V1 0.000 0.000 0.500
Ge1 0.500 0.500 0.500

***

Energies, relative to the best one, in meV/atom: 1 404; 2 0.